[1]
Computed, not measured: an optimized crystal structure of Y3Ga2SiNi9 at the PBE level of DFT.

Output
formation energy without anion corrections	-190	meV per atom

Unit cell a=6.0079 b=6.0079 c=8.1317 alpha=90.00 beta=90.00 gamma=120.00
Space group P-3m1 (No. 164)
Asymmetric unit:
Y  0.0000  0.0000  0.0000 x1
Y  0.3333  0.6667  0.6793 x2
Ga  0.3333  0.6667  0.1927 x2
Si  0.0000  0.0000  0.5000 x1
Ni  0.0000  0.5000  0.0000 x3
Ni  0.1340  0.2681  0.2893 x6

***

[2]
Computed, not measured: an optimized crystal structure of YGa2SiNi4 at the PBE level of DFT.

Output
formation energy without anion corrections	-506	meV per atom

Unit cell a=4.0355 b=4.0355 c=24.6028 alpha=90.00 beta=90.00 gamma=120.00
Space group R-3m (No. 166, hexagonal axes)
Asymmetric unit:
Y  0.0000  0.0000  0.0000 x3
Ga  0.0000  0.0000  0.2465 x6
Si  0.0000  0.0000  0.5000 x3
Ni  0.0000  0.0000  0.1379 x6
Ni  0.0000  0.0000  0.4090 x6

***

[3]
Computed, not measured: an optimized crystal structure of Y2GaSi3Ni12 at the PBE level of DFT.

Output
formation energy without anion corrections	-196	meV per atom

Unit cell a=8.4282 b=8.4282 c=11.8887 alpha=90.00 beta=90.00 gamma=120.00
Space group R-3m (No. 166, hexagonal axes)
Asymmetric unit:
Y  0.0000  0.0000  0.1553 x6
Ga  0.0000  0.0000  0.5000 x3
Si  0.0000  0.5000  0.0000 x9
Ni  0.0108  0.5054  0.3907 x18
Ni  0.0134  0.5067  0.1922 x18

***

[4]
Computed, not measured: an optimized crystal structure of Y2GaSi3Ni4 at the PBE level of DFT.

Output
formation energy without anion corrections	-798	meV per atom

Unit cell a=3.9903 b=3.9903 c=9.6073 alpha=90.00 beta=90.00 gamma=90.00
Space group P-4m2 (No. 115)
Asymmetric unit:
Y  0.0000  0.5000  0.2478 x2
Ga  0.0000  0.0000  0.5000 x1
Si  0.0000  0.5000  0.8745 x2
Si  0.5000  0.5000  0.5000 x1
Ni  0.0000  0.0000  0.0000 x1
Ni  0.0000  0.5000  0.6359 x2
Ni  0.5000  0.5000  0.0000 x1

***

[5]
Computed, not measured: an optimized crystal structure of YGaSiNi3 at the PBE level of DFT.

Output
formation energy without anion corrections	-414	meV per atom

Unit cell a=6.1910 b=11.3688 c=5.3651 alpha=90.00 beta=90.00 gamma=90.00
Space group Cmcm (No. 63)
Asymmetric unit:
Y  0.0000  0.2106  0.2500 x4
Ga  0.0000  0.4607  0.2500 x4
Si  0.0000  0.1287  0.7500 x4
Ni  0.0000  0.3287  0.7500 x4
Ni  0.1965  0.0000  0.0000 x8

***

[6]
Computed, not measured: an optimized crystal structure of Y2GaSiNi6 at the PBE level of DFT.

Output
formation energy without anion corrections	-370	meV per atom

Unit cell a=5.9401 b=5.9927 c=6.1261 alpha=60.83 beta=61.34 gamma=61.10
Space group P-1 (No. 2)
Asymmetric unit:
Y  0.2074  0.2013  0.2117 x2
Ga  0.0000  0.0000  0.0000 x1
Si  0.5000  0.5000  0.5000 x1
Ni  0.1735  0.3254  0.6230 x2
Ni  0.3325  0.6284  0.1711 x2
Ni  0.3646  0.8249  0.6754 x2

***

[7]
Computed, not measured: an optimized crystal structure of YGa2SiNi2 at the PBE level of DFT.

Output
formation energy without anion corrections	-408	meV per atom

Unit cell a=4.2882 b=4.2882 c=5.4749 alpha=90.00 beta=90.00 gamma=90.00
Space group P4/mmm (No. 123)
Asymmetric unit:
Y  0.0000  0.0000  0.0000 x1
Ga  0.5000  0.5000  0.2356 x2
Si  0.0000  0.0000  0.5000 x1
Ni  0.0000  0.5000  0.5000 x2

***

[8]
Computed, not measured: an optimized crystal structure of Zn2GaSi2Ni5 at the PBE level of DFT.

Output
formation energy without anion corrections	-269	meV per atom

Unit cell a=8.5085 b=8.5085 c=3.4582 alpha=90.00 beta=90.00 gamma=90.00
Space group P4/mbm (No. 127)
Asymmetric unit:
Zn  0.1710  0.3290  0.0000 x4
Ga  0.0000  0.0000  0.0000 x2
Si  0.1272  0.6272  0.0000 x4
Ni  0.0000  0.5000  0.5000 x2
Ni  0.0785  0.7991  0.5000 x8

***

[9]
Computed, not measured: an optimized crystal structure of ZnGa2Si2Ni5 at the PBE level of DFT.

Output
formation energy without anion corrections	-221	meV per atom

Unit cell a=9.3480 b=9.3480 c=2.9340 alpha=90.00 beta=90.00 gamma=90.00
Space group P4/mbm (No. 127)
Asymmetric unit:
Zn  0.0000  0.0000  0.0000 x2
Ga  0.1685  0.3315  0.0000 x4
Si  0.1417  0.6417  0.0000 x4
Ni  0.0000  0.5000  0.5000 x2
Ni  0.0133  0.7847  0.5000 x8

***

[10]
Computed, not measured: an optimized crystal structure of SmGaNi5 at the PBE level of DFT.

Output
energy of formation from the pure elements	-0.365	eV/atom

Unit cell a=7.9278 b=4.8643 c=10.0245 alpha=90.00 beta=90.00 gamma=90.00
Space group Pnma (No. 62)
Asymmetric unit:
Sm  0.2455  0.2500  0.0585 x4
Ga  0.1441  0.7500  0.8583 x4
Ni  0.0551  0.7500  0.0952 x4
Ni  0.0654  0.0046  0.3059 x8
Ni  0.0947  0.2500  0.5170 x4
Ni  0.1858  0.2500  0.7513 x4

***

[11]
Computed, not measured: an optimized crystal structure of Sm2Ga6Ni at the PBE level of DFT.

Output
energy of formation from the pure elements	-0.585	eV/atom

Unit cell a=8.7832 b=8.7832 c=8.7832 alpha=90.00 beta=90.00 gamma=90.00
Space group Fm-3m (No. 225)
Asymmetric unit:
Sm  0.2500  0.2500  0.2500 x8
Ga  0.0000  0.0000  0.2226 x24
Ni  0.0000  0.0000  0.5000 x4

***

[12]
Computed, not measured: an optimized crystal structure of Sm6Ga3Ni at the PBE level of DFT.

Output
energy of formation from the pure elements	-0.345	eV/atom

Unit cell a=8.9492 b=11.3133 c=5.1418 alpha=90.00 beta=90.00 gamma=90.00
Space group Pnnm (No. 58)
Asymmetric unit:
Sm  0.0016  0.2418  0.0000 x4
Sm  0.1615  0.0786  0.5000 x4
Sm  0.1737  0.4260  0.5000 x4
Ga  0.0000  0.5000  0.0000 x2
Ga  0.1660  0.7461  0.5000 x4
Ni  0.0000  0.0000  0.0000 x2

***

[13]
Computed, not measured: an optimized crystal structure of Sm3Ga4Ni7 at the PBE level of DFT.

Output
energy of formation from the pure elements	-0.509	eV/atom

Unit cell a=14.6720 b=4.1030 c=9.1603 alpha=90.00 beta=125.11 gamma=90.00
Space group C2/m (No. 12)
Asymmetric unit:
Sm  0.0000  0.0000  0.0000 x2
Sm  0.1824  0.5000  0.6817 x4
Ga  0.1267  0.0000  0.3981 x4
Ga  0.1757  0.5000  0.0174 x4
Ni  0.0000  0.0000  0.5000 x2
Ni  0.0047  0.5000  0.2954 x4
Ni  0.1112  0.0000  0.8315 x4
Ni  0.1715  0.5000  0.2919 x4

***

[14]
Computed, not measured: an optimized crystal structure of Sm12GaNi6 at the PBE level of DFT.

Output
energy of formation from the pure elements	-0.295	eV/atom

Unit cell a=9.8729 b=9.8729 c=9.8729 alpha=90.00 beta=90.00 gamma=90.00
Space group Im-3 (No. 204)
Asymmetric unit:
Sm  0.0000  0.3032  0.1857 x24
Ga  0.0000  0.0000  0.0000 x2
Ni  0.0000  0.1230  0.5000 x12

***

[15]
Computed, not measured: an optimized crystal structure of Sm8GaNi2 at the PBE level of DFT.

Output
energy of formation from the pure elements	-0.122	eV/atom

Unit cell a=8.5793 b=13.4605 c=5.5018 alpha=90.00 beta=105.45 gamma=90.00
Space group Cm (No. 8)
Asymmetric unit:
Sm  0.0000  0.0000  0.0000 x2
Sm  0.0910  0.3736  0.7660 x4
Sm  0.1781  0.1264  0.6124 x4
Sm  0.2688  0.5000  0.3762 x2
Sm  0.3853  0.2389  0.1884 x4
Ga  0.3849  0.0000  0.1811 x2
Ni  0.3842  0.3008  0.6880 x4

***

[16]
Computed, not measured: an optimized crystal structure of Sm5GaNi2 at the PBE level of DFT.

Output
energy of formation from the pure elements	-0.326	eV/atom

Unit cell a=7.7743 b=7.7743 c=13.1671 alpha=90.00 beta=90.00 gamma=90.00
Space group I4/mcm (No. 140)
Asymmetric unit:
Sm  0.0000  0.0000  0.0000 x4
Sm  0.1614  0.3386  0.1404 x16
Ga  0.0000  0.0000  0.2500 x4
Ni  0.1233  0.3767  0.5000 x8

***

[17]
Computed, not measured: an optimized crystal structure of SmGa3Ni at the PBE level of DFT.

Output
energy above the most stable polymorph in this dataset	0	meV/atom
energy of formation from the pure elements	-0.605	eV/atom

Unit cell a=5.9936 b=6.0042 c=10.1502 alpha=90.00 beta=90.00 gamma=90.00
Space group Fmm2 (No. 42)
Asymmetric unit:
Sm  0.0000  0.0000  0.0000 x4
Ga  0.0000  0.0000  0.5847 x4
Ga  0.2500  0.2500  0.2506 x8
Ni  0.0000  0.0000  0.3565 x4

***

[18]
Computed, not measured: an optimized crystal structure of Sm3Ga2Ni at the PBE level of DFT.

Output
energy of formation from the pure elements	-0.515	eV/atom

Unit cell a=11.9398 b=4.2876 c=11.3734 alpha=90.00 beta=90.00 gamma=90.00
Space group Pnma (No. 62)
Asymmetric unit:
Sm  0.0482  0.2500  0.1272 x4
Sm  0.1176  0.7500  0.5561 x4
Sm  0.2300  0.2500  0.7969 x4
Ga  0.0160  0.7500  0.3103 x4
Ga  0.1952  0.7500  0.9997 x4
Ni  0.1242  0.2500  0.3758 x4

***

[19]
Computed, not measured: an optimized crystal structure of SmGa3Ni at the PBE level of DFT.

Output
energy above the most stable polymorph in this dataset	69	meV/atom
energy of formation from the pure elements	-0.536	eV/atom

Unit cell a=4.1038 b=4.1038 c=10.6794 alpha=90.00 beta=90.00 gamma=90.00
Space group I-4m2 (No. 119)
Asymmetric unit:
Sm  0.0000  0.0000  0.0000 x2
Ga  0.0000  0.0000  0.3829 x4
Ga  0.0000  0.5000  0.2500 x2
Ni  0.0000  0.5000  0.7500 x2